*i*
Entry from Alexandria via LeMat-Bulk: crystalline CrFeAs2 at its relaxed geometry (PBE).

Cell lengths 7.1473, 3.1842, 5.3937 Å; angles 90.00, 103.71, 90.00 degrees
Space group C2/m (No. 12)
Asymmetric unit:
Cr 0.0000 0.0000 0.0000 (multiplicity 2)
Fe 0.0000 0.5000 0.5000 (multiplicity 2)
As 0.2434 0.0000 0.7258 (multiplicity 4)

**Volume**: 14.91 Å³/atom
**Magnetic moment**: 4.036 μB per formula unit

*ii*
Entry from Alexandria via LeMat-Bulk: crystalline CrFeAs2 at its relaxed geometry (PBE).

Cell lengths 2.7244, 2.7244, 8.6035 Å; angles 90.00, 90.00, 90.00 degrees
Space group P4mm (No. 99)
Asymmetric unit:
Cr 0.0000 0.0000 0.0000 (multiplicity 1)
Fe 0.5000 0.5000 0.1814 (multiplicity 1)
As 0.0000 0.0000 0.3649 (multiplicity 1)
As 0.5000 0.5000 0.7916 (multiplicity 1)

**Volume**: 15.96 Å³/atom
**Magnetic moment**: 0.001 μB per formula unit

List of relative energies, unit meV per atom: *i* 69; *ii* 0

*i*
Entry from Alexandria via LeMat-Bulk: crystalline LaTl2Cl at its relaxed geometry (PBE).

Cell lengths 3.7883, 6.3842, 10.1026 Å; angles 90.00, 90.00, 90.00 degrees
Space group Cmmm (No. 65)
Asymmetric unit:
La 0.0000 0.0000 0.0000 (multiplicity 2)
Tl 0.0000 0.5000 0.2732 (multiplicity 4)
Cl 0.0000 0.0000 0.5000 (multiplicity 2)

**Volume**: 30.54 Å³/atom
**Magnetic moment**: 0.000 μB per formula unit

*ii*
Entry from Alexandria via LeMat-Bulk: crystalline LaTl2Cl at its relaxed geometry (PBE).

Cell lengths 9.5867, 4.0196, 6.7560 Å; angles 90.00, 107.72, 90.00 degrees
Space group Cm (No. 8)
Asymmetric unit:
La 0.0000 0.0000 0.0000 (multiplicity 2)
Tl 0.2366 0.5000 0.3472 (multiplicity 2)
Tl 0.4903 0.0000 0.5500 (multiplicity 2)
Cl 0.2726 0.0000 0.9062 (multiplicity 2)

**Volume**: 31.00 Å³/atom
**Magnetic moment**: 0.000 μB per formula unit

List of relative energies, unit meV per atom: *i* 387; *ii* 0